1.
! KBe2PO6, relaxed, DFT PBE; values from VASP
&SYSTEM
  ibrav = 0, nat = 20, ntyp = 4
/
ATOMIC_SPECIES
O 16.00 O.upf
Be 9.01 Be.upf
K 39.10 K.upf
P 30.97 P.upf
ATOMIC_POSITIONS crystal
O 0.1928 0.6067 0.5884
O 0.6928 0.5884 0.6067
O 0.5086 0.7578 0.3292
O 0.4914 0.2422 0.6708
O 0.8072 0.3933 0.4116
O 0.2195 0.2628 0.0356
O 0.7195 0.0356 0.2628
O 0.7805 0.7372 0.9644
O 0.0086 0.3292 0.7578
O 0.3073 0.4116 0.3933
O 0.9914 0.6708 0.2422
O 0.2805 0.9644 0.7372
Be 0.4206 0.7316 0.5616
Be 0.0794 0.4384 0.2684
Be 0.5794 0.2684 0.4384
Be 0.9206 0.5616 0.7316
K 0.7500 0.1057 0.8943
K 0.2500 0.8943 0.1057
P 0.2500 0.2049 0.7951
P 0.7500 0.7951 0.2049
CELL_PARAMETERS angstrom
5.6953 -0.0199 -0.0207
1.8346 6.5541 -0.9569
1.8346 -1.1991 6.5142
! Energy relative to the elements, uncorrected (kJ/mol of atoms): -205.57
! VASP energy (eV per atom): -6.501
! Crystal system: monoclinic
! Calculated volume (Å³/cell): 237.2
! Space-group type: C2/c, No. 15
! Mass density (Mg/m³): 2.578


2.
! TcPPb3, relaxed, DFT PBE; values from VASP
&SYSTEM
  ibrav = 0, nat = 5, ntyp = 3
/
ATOMIC_SPECIES
Pb 207.20 Pb.upf
P 30.97 P.upf
Tc 98.00 Tc.upf
ATOMIC_POSITIONS crystal
Pb 0.0000 0.0000 0.5000
Pb 0.0000 0.5000 0.0000
Pb 0.5000 0.0000 0.0000
P 0.5000 0.5000 0.5000
Tc 0.0000 0.0000 0.0000
CELL_PARAMETERS angstrom
5.2934 0.0000 0.0000
0.0000 5.2934 0.0000
0.0000 0.0000 5.2934
! VASP energy (eV per atom): -4.693
! Crystal system: cubic
! Calculated volume (Å³/cell): 148.3
! Formation enthalpy at 0 K (eV per atom): 0.687
! Space-group type: Pm-3m, No. 221
! Mass density (Mg/m³): 8.403


| no. | M_tot (μB/f.u.) | density of states at the Fermi level (states/eV per cell) |
| --- | --- | --- |
| 1 | 0.00 | 0.0 |
| 2 | 1.88 | 7.6 |